NbPd2Au2 after structural relaxation. Source: the Alexandria database, functional PBE.

The structure in POSCAR format:
```
NbPd2Au2
1.0
-4.821 -3.064 -2.138
-0.868 -1.600 5.821
-4.353 -0.213 2.201
Pd Nb Au
2 1 2
Direct
0.000 0.500 0.500
0.500 0.000 0.500
0.000 0.000 0.000
0.671 0.671 0.999
0.329 0.329 0.001
```

## Properties
Density of states at the Fermi level   3.54 states/eV/f.u.
DFT formation energy   210 meV per atom